A plane-wave DFT calculation with PBE was carried out for a relaxed structure of Sc3RhW.

a b c (Å): 4.9330 4.9330 4.9330
angles (deg): 90.00 90.00 90.00
Atoms (fractional coordinates):
Sc 0.0000 0.0000 0.5000
Sc 0.5000 0.0000 0.0000
Sc 0.0000 0.5000 0.0000
Rh 0.5000 0.5000 0.5000
W 0.0000 0.0000 0.0000

Electronic total energy ... -7.0720 eV/atom
Energy of formation ... 0.7879 eV per atom